VASP calculation (PBE) on a geometry-optimized BaNb2Sb2 structure.

Calculated values
Raw total energy (eV per atom): -6.504
M_tot (Bohr magnetons per cell): 0.0
Formation energy from raw total energies (eV per atom): -0.442

Geometry as POSCAR:
```
BaNb2Sb2
1.0
-0.7188 3.4469 -2.3383
0.5817 -2.2665 -3.5199
-7.5665 -1.0830 -3.0909
Sb Nb Ba
2 2 1
Direct
0.3742 0.3742 0.2517 Sb
0.6258 0.6258 0.7483 Sb
0.7500 0.2500 0.5000 Nb
0.2500 0.7500 0.5000 Nb
0.0000 0.0000 0.0000 Ba
```